No. 1
Here is a geometry-optimized SrGe2BS6 structure from Alexandria. Energies are from PBE.

a = 13.452 Å, b = 10.971 Å, c = 7.999 Å
α = 90.00°, β = 122.90°, γ = 90.00°
Space group C2/c (No. 15)
Inequivalent atoms, fractional coordinates:
Sr  0.000  0.182  0.250
Ge  0.202  0.429  0.095
B  0.000  0.173  0.750
S  0.094  0.075  0.683
S  0.102  0.247  0.007
S  0.154  0.438  0.349

Results
The calculation puts the volume at 247.8 Å³/f.u. The density of states at the Fermi level comes out at 2.93 states/eV/f.u. As for the raw formation energy: -548 meV per atom.

=====

No. 2
Here is a geometry-optimized KGe2MoPt structure from Alexandria. Energies are from PBE.

a = 4.940 Å, b = 4.940 Å, c = 5.033 Å
α = 90.00°, β = 90.00°, γ = 90.00°
Space group P4/mmm (No. 123)
Inequivalent atoms, fractional coordinates:
K  0.000  0.000  0.000
Ge  0.000  0.500  0.500
Mo  0.500  0.500  0.500
Pt  0.500  0.500  0.000

Results
The formation energy comes out at 0.24 eV/atom. The calculation puts the volume at 122.8 Å³/f.u. The density of states at the Fermi level comes out at 3.28 states/eV/f.u.

=====

No. 3
Here is a geometry-optimized CsVN2 structure from Alexandria. Energies are from PBE.

a = 8.400 Å, b = 8.400 Å, c = 8.400 Å
α = 90.00°, β = 90.00°, γ = 90.00°
Space group Fd-3m (No. 227, origin choice 2)
Inequivalent atoms, fractional coordinates:
Cs  0.125  0.125  0.125
V  0.125  0.125  0.625
N  0.000  0.000  0.500

Results
The calculation puts the volume at 74.1 Å³/f.u. The density of states at the Fermi level comes out at 0.01 states/eV/f.u. As for the raw formation energy: -755 meV per atom.

=====

No. 4
Here is a geometry-optimized NdHoLu structure from Alexandria. Energies are from PBE.

a = 3.557 Å, b = 3.557 Å, c = 15.097 Å
α = 90.00°, β = 90.00°, γ = 90.00°
Space group I4mm (No. 107)
Inequivalent atoms, fractional coordinates:
Nd  0.000  0.000  0.000
Ho  0.000  0.000  0.330
Lu  0.000  0.000  0.668

Results
The formation energy comes out at 0.03 eV/atom. The calculation puts the volume at 95.5 Å³/f.u. The density of states at the Fermi level comes out at 4.46 states/eV/f.u. The calculation puts the energy above the lowest structure with this stoichiometry at 0.0000 eV per atom.

=====

No. 5
Here is a geometry-optimized La2Pm9Pr structure from Alexandria. Energies are from PBE.

a = 5.194 Å, b = 5.194 Å, c = 15.584 Å
α = 90.00°, β = 90.00°, γ = 90.00°
Space group P4/mmm (No. 123)
Inequivalent atoms, fractional coordinates:
La  0.000  0.000  0.166
Pm  0.000  0.500  0.000
Pm  0.000  0.500  0.334
Pm  0.500  0.500  0.167
Pm  0.500  0.500  0.500
Pr  0.000  0.000  0.500

Results
The formation energy comes out at 0.02 eV/atom. The calculation puts the volume at 420.4 Å³/f.u. The density of states at the Fermi level comes out at 21.16 states/eV/f.u. The calculation puts the energy above the lowest structure with this stoichiometry at 0.0000 eV per atom.

=====

No. 6
Here is a geometry-optimized La2NdUN4 structure from Alexandria. Energies are from PBE.

a = 6.224 Å, b = 3.614 Å, c = 6.319 Å
α = 90.00°, β = 109.05°, γ = 90.00°
Space group P2/m (No. 10)
Inequivalent atoms, fractional coordinates:
La  0.000  0.000  0.000
La  0.500  0.500  0.000
Nd  0.000  0.500  0.500
U  0.500  0.000  0.500
N  0.280  0.000  0.713
N  0.290  0.500  0.293

Results
The calculation puts the volume at 134.4 Å³/f.u. The density of states at the Fermi level comes out at 5.46 states/eV/f.u. As for the raw formation energy: -1399 meV per atom.

=====

No. 7
Here is a geometry-optimized La7Tb2Sm3 structure from Alexandria. Energies are from PBE.

a = 6.583 Å, b = 3.599 Å, c = 17.955 Å
α = 90.00°, β = 95.75°, γ = 90.00°
Space group P2/m (No. 10)
Inequivalent atoms, fractional coordinates:
La  0.000  0.000  0.000
La  0.223  0.500  0.172
La  0.261  0.500  0.491
La  0.274  0.000  0.832
Tb  0.058  0.500  0.669
Sm  0.456  0.000  0.337
Sm  0.500  0.500  0.000

Results
The formation energy comes out at 0.06 eV/atom. The calculation puts the volume at 423.2 Å³/f.u. The density of states at the Fermi level comes out at 18.21 states/eV/f.u. The calculation puts the energy above the lowest structure with this stoichiometry at 0.0000 eV per atom.

=====

No. 8
Here is a geometry-optimized KMgZr2 structure from Alexandria. Energies are from PBE.

a = 3.249 Å, b = 5.223 Å, c = 12.464 Å
α = 90.00°, β = 90.00°, γ = 90.00°
Space group Cmmm (No. 65)
Inequivalent atoms, fractional coordinates:
K  0.000  0.000  0.000
Mg  0.000  0.000  0.500
Zr  0.000  0.500  0.282

Results
The formation energy comes out at 0.47 eV/atom. The calculation puts the volume at 105.8 Å³/f.u. The density of states at the Fermi level comes out at 3.34 states/eV/f.u.

=====

No. 9
Here is a geometry-optimized BaTlGaBi structure from Alexandria. Energies are from PBE.

a = 8.018 Å, b = 8.018 Å, c = 8.018 Å
α = 90.00°, β = 90.00°, γ = 90.00°
Space group F-43m (No. 216)
Inequivalent atoms, fractional coordinates:
Ba  0.000  0.000  0.000
Tl  0.250  0.250  0.750
Ga  0.250  0.250  0.250
Bi  0.000  0.000  0.500

Results
The formation energy comes out at -0.29 eV/atom. The calculation puts the volume at 128.9 Å³/f.u. The density of states at the Fermi level comes out at 2.83 states/eV/f.u.

=====

No. 10
Here is a geometry-optimized Pr5Tl2HgRh2 structure from Alexandria. Energies are from PBE.

a = 12.166 Å, b = 12.166 Å, c = 3.857 Å
α = 90.00°, β = 90.00°, γ = 90.00°
Space group P4/mbm (No. 127)
Inequivalent atoms, fractional coordinates:
Pr  0.000  0.500  0.000
Pr  0.078  0.204  0.000
Tl  0.173  0.673  0.500
Hg  0.000  0.000  0.500
Rh  0.131  0.369  0.500

Results
The formation energy comes out at -0.47 eV/atom. The calculation puts the volume at 285.4 Å³/f.u. The density of states at the Fermi level comes out at 7.05 states/eV/f.u.

=====

No. 11
Here is a geometry-optimized InP3C structure from Alexandria. Energies are from PBE.

a = 4.212 Å, b = 4.212 Å, c = 4.212 Å
α = 90.00°, β = 90.00°, γ = 90.00°
Space group Pm-3m (No. 221)
Inequivalent atoms, fractional coordinates:
In  0.000  0.000  0.000
P  0.000  0.500  0.500
C  0.500  0.500  0.500

Results
The formation energy comes out at 1.07 eV/atom. The calculation puts the volume at 74.7 Å³/f.u. The density of states at the Fermi level comes out at 3.35 states/eV/f.u. The calculation puts the energy above the lowest structure with this stoichiometry at 0.0000 eV per atom.